No. 1
10
Lattice="5.926 0.000 0.000 0.000 5.926 0.000 2.963 2.963 4.190" Properties=species:S:1:pos:R:3 comment="PBE-GGA Rb2AlTcF6, optimized geometry" e_form_raw_mev_per_atom=-2333 total_energy_ev_per_atom=-5.060 volume_a3_per_atom=14.7 pbc="T T T"
Rb 2.963 5.926 2.095
Rb 5.926 2.963 2.095
F 1.660 1.660 0.000
F 2.963 2.963 1.843
F 1.660 4.266 0.000
F 4.266 1.660 0.000
F 4.266 4.266 0.000
F 5.926 5.926 2.348
Tc 0.000 0.000 0.000
Al 2.963 2.963 0.000

=====

No. 2
10
Lattice="-4.727 0.873 -3.984 -3.547 -3.889 3.357 -5.632 2.061 2.242" Properties=species:S:1:pos:R:3 comment="PBE-GGA Rb2TiAlF6, optimized geometry" e_form_raw_mev_per_atom=-2714 total_energy_ev_per_atom=-5.194 volume_a3_per_atom=18.1 pbc="T T T"
F -5.005 0.566 1.171
F -3.820 -2.790 1.663
F -1.909 -0.696 -0.145
F -4.455 -0.226 -2.290
F -8.900 -1.521 0.444
F -6.365 -2.320 -0.482
Rb -7.248 0.713 -1.028
Rb -6.658 -1.668 2.643
Al -4.137 -1.508 -0.313
Ti 0.000 0.000 0.000

=====

No. 3
10
Lattice="-6.212 -0.625 1.326 -3.245 -5.031 -2.213 -1.962 -4.552 4.022" Properties=species:S:1:pos:R:3 comment="PBE-GGA Rb2AlTlF6, optimized geometry" e_form_raw_mev_per_atom=-2942 total_energy_ev_per_atom=-4.869 volume_a3_per_atom=18.4 pbc="T T T"
Al -5.710 -5.104 1.568
Tl 0.000 0.000 0.000
F -6.715 -5.134 3.110
F -4.704 -5.075 0.025
F -7.239 -5.330 0.566
F -4.181 -4.879 2.569
F -5.915 -3.277 1.469
F -5.505 -6.932 1.666
Rb -2.855 -2.552 0.784
Rb -8.565 -7.656 2.351

=====

No. 4
11
Lattice="6.570 -0.059 0.439 -3.299 5.683 0.439 -0.793 -1.364 6.937" Properties=species:S:1:pos:R:3 comment="PBE-GGA Rb2AlTl2F6, optimized geometry" e_form_raw_mev_per_atom=-2565 total_energy_ev_per_atom=-4.532 volume_a3_per_atom=24.1 pbc="T T T"
F 0.415 0.714 2.578
F 2.063 3.546 5.236
F 1.419 5.067 3.211
F 3.703 3.738 3.211
F 1.059 -0.807 4.604
F -1.225 0.522 4.604
Tl -1.908 4.874 0.439
Tl 5.180 0.750 0.439
Rb -0.370 3.066 3.907
Rb 2.848 1.194 3.907
Al -0.397 -0.682 3.468